[1]
Density functional theory data (PBE-GGA) for VNi4Mo after structural relaxation.

Output
SG: C2/c (15)
Offset from the most stable computed form, eV/atom: 0.093
Total magnetization, μB per formula unit: 0.00
Fermi-level density of states, states/eV per atom: 1.547
DFT formation energy, eV/atom: -0.0788
Total DFT energy (no corrections), eV/atom: -7.258

a b c (Å): 4.084 6.474 7.503
angles (deg): 104.94 89.82 129.65
Fractional positions:
Ni (0.710, 0.460, 0.417)
Mo (0.875, 0.125, 0.249)
Ni (0.548, 0.297, 0.084)
Ni (0.036, 0.787, 0.084)
Mo (0.125, 0.875, 0.751)
Ni (0.452, 0.703, 0.916)
Ni (0.290, 0.540, 0.583)
Ni (0.964, 0.213, 0.916)
V (0.625, 0.375, 0.749)
V (0.375, 0.625, 0.251)
Ni (0.793, 0.043, 0.583)
Ni (0.207, 0.957, 0.417)

=====

[2]
Density functional theory data (PBE-GGA) for Pr6Tm12Th after structural relaxation.

Output
SG: R-3m (166)
Total magnetization, μB per formula unit: 0.00
Fermi-level density of states, states/eV per atom: 1.687
DFT formation energy, eV/atom: 0.2316
Total DFT energy (no corrections), eV/atom: -4.492

a b c (Å): 8.716 8.716 8.716
angles (deg): 99.28 99.28 99.28
Fractional positions:
Tm (0.651, 0.923, 0.651)
Pr (0.101, 0.101, 0.657)
Tm (0.246, 0.754, 0.500)
Pr (0.101, 0.657, 0.101)
Th (0.000, 0.000, 0.000)
Tm (0.349, 0.349, 0.077)
Tm (0.754, 0.500, 0.246)
Tm (0.651, 0.651, 0.923)
Pr (0.343, 0.899, 0.899)
Pr (0.899, 0.899, 0.343)
Pr (0.657, 0.101, 0.101)
Pr (0.899, 0.343, 0.899)
Tm (0.246, 0.500, 0.754)
Tm (0.500, 0.246, 0.754)
Tm (0.923, 0.651, 0.651)
Tm (0.349, 0.077, 0.349)
Tm (0.077, 0.349, 0.349)
Tm (0.754, 0.246, 0.500)
Tm (0.500, 0.754, 0.246)